! PBE with a Hubbard U Ni3OsF, optimized geometry; values from VASP
! Energy relative to the lowest polymorph listed for this composition: 923 meV per atom
! Total moment: 1.01 μB per atom
! Theoretical density: 6.18 g cm⁻³
! Symmetry: No. 221
! Final energy: -12.5 eV/cell
&SYSTEM
  ibrav = 0, nat = 5, ntyp = 3
/
ATOMIC_SPECIES
Ni 58.69 Ni.upf
Os 190.23 Os.upf
F 19.00 F.upf
CELL_PARAMETERS angstrom
4.696 0.000 0.000
0.000 4.696 0.000
0.000 0.000 4.696
ATOMIC_POSITIONS crystal
Ni 0.000 0.500 0.000
Ni 0.000 0.000 0.500
Ni 0.500 0.000 0.000
Os 0.000 0.000 0.000
F 0.500 0.500 0.500